<a>
First-principles (PBE-GGA) data for a relaxed structure of Tb12Er5Tm2, as listed in Alexandria via LeMat-Bulk.

Properties
As for the total moment: 0.0 Bohr magnetons per cell. The calculation puts the calculated density at 8.44 g/cm³.

a b c (Å): 9.1165 9.0565 8.4954
angles (deg): 91.05 90.00 120.22
Closest atoms and distances in Å follow each position.
Atoms (fractional coordinates):
Er (0.7681, 0.5363, 0.4280)  10 Tb 3.35-3.74, 2 Er 3.65-3.67
Tm (0.3245, 0.0000, 0.0000)  1 Tm 3.20, 8 Tb 3.39-3.49, 2 Er 3.50
Tb (0.5590, 0.1179, 0.3375)  2 Er 3.35-3.54, 7 Tb 3.35-3.46, 2 Tm 3.39
Tb (0.4410, 0.8821, 0.6625)  2 Er 3.35-3.54, 7 Tb 3.35-3.46, 2 Tm 3.39
Tb (0.0284, 0.6924, 0.7591)  4 Tb 3.32-3.58, 1 Tm 3.39, 4 Er 3.47-3.69
Tb (0.1792, 0.7467, 0.3327)  4 Er 3.35-3.69, 5 Tb 3.40-3.54, 1 Tm 3.49
Er (0.6987, 0.3974, 0.0146)  8 Tb 3.40-3.61, 2 Tm 3.50, 1 Er 3.65
Tm (0.6755, 0.0000, 0.0000)  1 Tm 3.20, 8 Tb 3.39-3.49, 2 Er 3.50
Er (0.3013, 0.6026, 0.9854)  8 Tb 3.40-3.61, 2 Tm 3.50, 1 Er 3.65
Tb (0.4325, 0.2533, 0.6673)  4 Er 3.35-3.69, 5 Tb 3.40-3.54, 1 Tm 3.49
Tb (0.9716, 0.3076, 0.2409)  4 Tb 3.32-3.58, 1 Tm 3.39, 4 Er 3.47-3.69
Tb (0.9103, 0.8206, 0.1151)  5 Tb 3.40-3.58, 3 Er 3.40-3.53, 2 Tm 3.43
Tb (0.0897, 0.1794, 0.8849)  5 Tb 3.40-3.58, 3 Er 3.40-3.53, 2 Tm 3.43
Er (0.2319, 0.4637, 0.5720)  10 Tb 3.35-3.74, 2 Er 3.65-3.67
Tb (0.8208, 0.2533, 0.6673)  4 Er 3.35-3.69, 5 Tb 3.40-3.54, 1 Tm 3.49
Tb (0.5675, 0.7467, 0.3327)  4 Er 3.35-3.69, 5 Tb 3.40-3.54, 1 Tm 3.49
Tb (0.6641, 0.6924, 0.7591)  4 Tb 3.32-3.58, 1 Tm 3.39, 4 Er 3.47-3.69
Tb (0.3359, 0.3076, 0.2409)  4 Tb 3.32-3.58, 1 Tm 3.39, 4 Er 3.47-3.69
Er (0.0000, 0.0000, 0.5000)  10 Tb 3.53-3.69, 2 Er 3.67



<b>
First-principles (PBE-GGA) data for a relaxed structure of Tb12Er5Tm2, as listed in Alexandria via LeMat-Bulk.

Properties
As for the total moment: 0.0 Bohr magnetons per cell. The calculation puts the calculated density at 8.57 g/cm³.

a b c (Å): 6.2013 12.4831 12.9310
angles (deg): 106.88 107.09 127.44
Closest atoms and distances in Å follow each position.
Atoms (fractional coordinates):
Tb (0.6301, 0.8889, 0.6572)  1 Tm 3.36, 6 Tb 3.40-3.74, 5 Er 3.44-3.71
Er (0.0000, 0.0000, 0.5000)  10 Tb 3.43-3.80, 2 Er 3.64
Er (0.0285, 0.5282, 0.6419)  1 Tm 3.26, 1 Er 3.39, 9 Tb 3.42-3.62
Tb (0.2441, 0.5473, 0.1624)  4 Er 3.48-3.80, 8 Tb 3.55-3.73
Er (0.9715, 0.4718, 0.3581)  1 Tm 3.26, 1 Er 3.39, 9 Tb 3.42-3.62
Tb (0.8470, 0.7343, 0.7797)  2 Tm 3.15-3.29, 3 Tb 3.34-3.42, 2 Er 3.42-3.51
Tb (0.1241, 0.7747, 0.3271)  7 Tb 3.40-3.73, 4 Er 3.48-3.67
Tb (0.6322, 0.6745, 0.0001)  2 Tm 3.49-3.73, 8 Tb 3.57-3.74, 2 Er 3.57-3.65
Tb (0.2026, 0.3231, 0.4987)  7 Tb 3.34-3.73, 5 Er 3.43-3.67
Tb (0.3699, 0.1111, 0.3428)  1 Tm 3.36, 6 Tb 3.40-3.74, 5 Er 3.44-3.71
Er (0.4927, 0.1105, 0.8302)  2 Tm 3.37-3.54, 9 Tb 3.48-3.71, 1 Er 3.64
Tm (0.3724, 0.0805, 0.0760)  4 Tb 3.15-3.49, 1 Tm 3.21, 2 Er 3.26-3.37
Tb (0.3678, 0.3255, 0.9999)  2 Tm 3.49-3.73, 8 Tb 3.57-3.74, 2 Er 3.57-3.65
Tb (0.7974, 0.6769, 0.5013)  7 Tb 3.34-3.73, 5 Er 3.43-3.67
Tb (0.8759, 0.2253, 0.6729)  7 Tb 3.40-3.73, 4 Er 3.48-3.67
Tb (0.7559, 0.4527, 0.8376)  4 Er 3.48-3.80, 8 Tb 3.55-3.73
Tb (0.1530, 0.2657, 0.2203)  2 Tm 3.15-3.29, 3 Tb 3.34-3.42, 2 Er 3.42-3.51
Er (0.5073, 0.8895, 0.1698)  2 Tm 3.37-3.54, 9 Tb 3.48-3.71, 1 Er 3.64
Tm (0.6276, 0.9195, 0.9240)  4 Tb 3.15-3.49, 1 Tm 3.21, 2 Er 3.26-3.37



Name the most stable of them. <b>.



<a>
First-principles (PBE-GGA) data for a relaxed structure of Tb2Er2Tm3, as listed in Alexandria via LeMat-Bulk.

Properties
As for the total moment: 0.0 Bohr magnetons per cell. The calculation puts the calculated density at 8.75 g/cm³.

a b c (Å): 8.2987 8.2987 8.2987
angles (deg): 109.47 109.47 109.47
Closest atoms and distances in Å follow each position.
Atoms (fractional coordinates):
Tm (0.6890, 0.7500, 0.9390)  4 Er 3.18-3.24, 2 Tb 3.45
Tb (0.5000, 0.8088, 0.5000)  1 Er 3.32, 3 Tm 3.45, 3 Tb 3.48
Tm (0.7500, 0.5610, 0.3110)  4 Er 3.18-3.24, 2 Tb 3.45
Tb (0.0000, 0.0000, 0.8088)  1 Er 3.32, 3 Tm 3.45, 3 Tb 3.48
Tm (0.8110, 0.2500, 0.5610)  4 Er 3.18-3.24, 2 Tb 3.45
Er (0.5000, 0.4090, 0.5000)  6 Tm 3.18-3.24, 1 Tb 3.32
Tm (0.4390, 0.1890, 0.7500)  4 Er 3.18-3.24, 2 Tb 3.45
Er (0.0000, 0.0000, 0.4090)  6 Tm 3.18-3.24, 1 Tb 3.32
Tm (0.2500, 0.9390, 0.1890)  4 Er 3.18-3.24, 2 Tb 3.45
Tb (0.3088, 0.5000, 0.0000)  1 Er 3.32, 3 Tm 3.45, 3 Tb 3.48
Tm (0.0610, 0.3110, 0.2500)  4 Er 3.18-3.24, 2 Tb 3.45
Er (0.9090, 0.5000, 0.0000)  6 Tm 3.18-3.24, 1 Tb 3.32
Tb (0.1912, 0.6912, 0.6912)  1 Er 3.32, 3 Tm 3.45, 3 Tb 3.48
Er (0.5910, 0.0910, 0.0910)  6 Tm 3.18-3.24, 1 Tb 3.32



<b>
First-principles (PBE-GGA) data for a relaxed structure of Tb2Er2Tm3, as listed in Alexandria via LeMat-Bulk.

Properties
As for the total moment: 0.0 Bohr magnetons per cell. The calculation puts the calculated density at 8.81 g/cm³.

a b c (Å): 3.4586 8.4497 8.7526
angles (deg): 118.75 101.40 90.00
Closest atoms and distances in Å follow each position.
Atoms (fractional coordinates):
Tm (0.0000, 0.5000, 0.0000)  4 Tm 3.26-3.46, 2 Tb 3.50, 4 Er 3.50
Er (0.5652, 0.9063, 0.1304)  3 Er 3.32-3.46, 5 Tm 3.38-3.50, 4 Tb 3.54-3.61
Tb (0.1465, 0.3231, 0.2930)  4 Tb 3.46-3.76, 4 Tm 3.50-3.65, 4 Er 3.54-3.61
Er (0.4348, 0.0937, 0.8696)  3 Er 3.32-3.46, 5 Tm 3.38-3.50, 4 Tb 3.54-3.61
Tm (0.2119, 0.8040, 0.4238)  5 Tm 3.26-3.46, 3 Er 3.38-3.49, 3 Tb 3.55-3.65
Tb (0.8535, 0.6769, 0.7070)  4 Tb 3.46-3.76, 4 Tm 3.50-3.65, 4 Er 3.54-3.61
Tm (0.7881, 0.1960, 0.5762)  5 Tm 3.26-3.46, 3 Er 3.38-3.49, 3 Tb 3.55-3.65



Name the most stable of them. <b>.



<a>
First-principles (PBE-GGA) data for a relaxed structure of Tb4ErTm2, as listed in Alexandria via LeMat-Bulk.

Properties
As for the total moment: 0.0 Bohr magnetons per cell. The calculation puts the calculated density at 8.68 g/cm³.

a b c (Å): 6.1266 6.4750 11.4032
angles (deg): 90.00 105.26 90.00
Closest atoms and distances in Å follow each position.
Atoms (fractional coordinates):
Tb (0.9663, 0.2500, 0.1374)  3 Er 3.31-3.43, 2 Tb 3.32, 3 Tm 3.35-3.45
Tb (0.6526, 0.9948, 0.2866)  5 Tb 3.17-3.48, 1 Er 3.38, 1 Tm 3.46
Tm (0.7098, 0.7500, 0.5750)  9 Tb 3.36-3.58
Tb (0.1468, 0.7500, 0.4470)  1 Er 3.26, 4 Tm 3.37-3.38, 4 Tb 3.39-3.48
Tb (0.0337, 0.7500, 0.8626)  3 Er 3.31-3.43, 2 Tb 3.32, 3 Tm 3.35-3.45
Er (0.1582, 0.7500, 0.1629)  6 Tb 3.26-3.43, 1 Tm 3.40
Tb (0.3474, 0.0052, 0.7134)  5 Tb 3.17-3.48, 1 Er 3.38, 1 Tm 3.46
Tb (0.6526, 0.5052, 0.2866)  5 Tb 3.17-3.48, 1 Er 3.38, 1 Tm 3.46
Tb (0.3474, 0.4948, 0.7134)  5 Tb 3.17-3.48, 1 Er 3.38, 1 Tm 3.46
Tm (0.3914, 0.2500, 0.0032)  6 Tb 3.35-3.61, 2 Er 3.40-3.73, 2 Tm 3.51
Tb (0.8532, 0.2500, 0.5530)  1 Er 3.26, 4 Tm 3.37-3.38, 4 Tb 3.39-3.48
Tm (0.2902, 0.2500, 0.4250)  9 Tb 3.36-3.58
Tm (0.6086, 0.7500, 0.9968)  6 Tb 3.35-3.61, 2 Er 3.40-3.73, 2 Tm 3.51
Er (0.8418, 0.2500, 0.8371)  6 Tb 3.26-3.43, 1 Tm 3.40



<b>
First-principles (PBE-GGA) data for a relaxed structure of Tb4ErTm2, as listed in Alexandria via LeMat-Bulk.

Properties
As for the total moment: 0.0 Bohr magnetons per cell. The calculation puts the calculated density at 8.65 g/cm³.

a b c (Å): 3.4999 9.3360 8.4973
angles (deg): 121.65 78.13 112.00
Closest atoms and distances in Å follow each position.
Atoms (fractional coordinates):
Tb (0.8075, 0.1677, 0.7222)  7 Tb 3.50-3.82, 4 Tm 3.54-3.55, 2 Er 3.72
Tb (0.1925, 0.8323, 0.2778)  7 Tb 3.50-3.82, 4 Tm 3.54-3.55, 2 Er 3.72
Tb (0.4096, 0.7063, 0.5924)  3 Tm 3.31-3.46, 5 Tb 3.50-3.59, 2 Er 3.54
Tm (0.3590, 0.4295, 0.1408)  3 Tm 3.13-3.50, 1 Er 3.30, 3 Tb 3.31-3.46
Er (0.0000, 0.0000, 0.0000)  2 Tm 3.30, 2 Er 3.50, 4 Tb 3.54
Tm (0.6410, 0.5705, 0.8592)  3 Tm 3.13-3.50, 1 Er 3.30, 3 Tb 3.31-3.46
Tb (0.5904, 0.2937, 0.4076)  3 Tm 3.31-3.46, 5 Tb 3.50-3.59, 2 Er 3.54



Name the most stable of them. <b>.



<a>
First-principles (PBE-GGA) data for a relaxed structure of TbEr3Tm4, as listed in Alexandria via LeMat-Bulk.

Properties
As for the total moment: 0.0 Bohr magnetons per cell. The calculation puts the calculated density at 9.18 g/cm³.

a b c (Å): 3.5009 7.8141 10.4852
angles (deg): 81.39 70.49 63.38
Closest atoms and distances in Å follow each position.
Atoms (fractional coordinates):
Tm (0.0000, 0.2496, 0.2507)  4 Tm 3.49-3.50, 6 Er 3.49-3.50, 2 Tb 3.50
Er (0.0000, 0.0001, 0.0000)  2 Tb 3.49, 8 Tm 3.50, 2 Er 3.50
Er (0.4999, 0.0001, 0.5000)  8 Tm 3.49, 4 Er 3.49-3.50
Er (0.9999, 0.5001, 0.5000)  8 Tm 3.49, 4 Er 3.49-3.50
Tm (0.0000, 0.7507, 0.7492)  4 Tm 3.49-3.50, 6 Er 3.49-3.50, 2 Tb 3.50
Tm (0.4986, 0.7506, 0.2508)  4 Tm 3.49-3.50, 6 Er 3.49-3.50, 2 Tb 3.50
Tb (0.5000, 0.5001, 0.9999)  2 Er 3.49, 2 Tb 3.50, 8 Tm 3.50
Tm (0.5013, 0.2496, 0.7492)  4 Tm 3.49-3.50, 6 Er 3.49-3.50, 2 Tb 3.50



<b>
First-principles (PBE-GGA) data for a relaxed structure of TbEr3Tm4, as listed in Alexandria via LeMat-Bulk.

Properties
As for the total moment: 0.0 Bohr magnetons per cell. The calculation puts the calculated density at 9.06 g/cm³.

a b c (Å): 6.1875 7.1581 11.0633
angles (deg): 90.00 90.00 90.00
Closest atoms and distances in Å follow each position.
Atoms (fractional coordinates):
Er (0.9813, 0.6259, 0.2499)  6 Tm 3.45-3.59, 4 Er 3.45-3.58, 2 Tb 3.45-3.46
Tm (0.1481, 0.8755, 0.5000)  6 Tm 3.44-3.57, 4 Er 3.45-3.59, 2 Tb 3.57-3.58
Tm (0.6474, 0.1239, 0.5000)  6 Tm 3.44-3.57, 4 Er 3.45-3.57, 2 Tb 3.57-3.59
Tb (0.1476, 0.3743, 0.0000)  6 Er 3.45-3.58, 6 Tm 3.46-3.59
Tb (0.6476, 0.6257, 0.5000)  6 Er 3.45-3.58, 6 Tm 3.46-3.59
Tm (0.9810, 0.1240, 0.2507)  6 Tm 3.44-3.57, 5 Er 3.45-3.59, 1 Tb 3.46
Er (0.1474, 0.3741, 0.5000)  6 Tm 3.45-3.59, 4 Er 3.45-3.46, 2 Tb 3.58
Tm (0.9810, 0.1240, 0.7493)  6 Tm 3.44-3.57, 5 Er 3.45-3.59, 1 Tb 3.46
Tm (0.1474, 0.8761, 0.0000)  6 Tm 3.44-3.57, 4 Er 3.45-3.57, 2 Tb 3.57-3.59
Tm (0.4810, 0.8760, 0.7507)  6 Tm 3.44-3.57, 5 Er 3.45-3.59, 1 Tb 3.46
Tm (0.6481, 0.1245, 0.0000)  6 Tm 3.44-3.57, 4 Er 3.45-3.59, 2 Tb 3.57-3.58
Er (0.6474, 0.6259, 0.0000)  6 Tm 3.45-3.59, 4 Er 3.45-3.46, 2 Tb 3.58
Tm (0.4810, 0.8760, 0.2493)  6 Tm 3.44-3.57, 5 Er 3.45-3.59, 1 Tb 3.46
Er (0.9813, 0.6259, 0.7501)  6 Tm 3.45-3.59, 4 Er 3.45-3.58, 2 Tb 3.45-3.46
Er (0.4813, 0.3741, 0.2501)  6 Tm 3.45-3.59, 4 Er 3.45-3.58, 2 Tb 3.45-3.46
Er (0.4813, 0.3741, 0.7499)  6 Tm 3.45-3.59, 4 Er 3.45-3.58, 2 Tb 3.45-3.46



Name the most stable of them. <b>.